[1]
Below is a crystal of SrBAs2 relaxed with PBEsol, with properties calculated at the SCAN level.

Calculated values
DFT formation energy, eV per atom: -0.392
Crystal system: tetragonal
Symmetry: I-42d, No. 122

abc: 5.9238 5.9238 5.9238
angles: 108.04 110.19 110.19
Closest atoms and distances in Å follow each position.
Atoms (fractional coordinates):
Sr  0.5000  0.7500  0.2500  8 As 3.10-3.25
B  0.0000  0.5000  0.5000  4 As 2.13
B  0.5000  0.2500  0.7500  4 As 2.13
As  0.1099  0.2349  0.6250  2 B 2.13
As  0.3901  0.8750  0.7651  2 B 2.13
As  0.8901  0.5151  0.1250  2 B 2.13
Sr  0.0000  0.0000  0.0000  8 As 3.10-3.25
As  0.6099  0.3750  0.4849  2 B 2.13

=====

[2]
Below is a crystal of CaMg2Pt relaxed with PBEsol, with properties calculated at the SCAN level.

Calculated values
DFT formation energy, eV per atom: -0.432
Crystal system: monoclinic
Symmetry: P2/m, No. 10

abc: 3.2333 4.5102 5.9959
angles: 90.00 105.72 90.00
Closest atoms and distances in Å follow each position.
Atoms (fractional coordinates):
Mg  0.3282  0.0000  0.2082  2 Pt 2.71, 2 Mg 2.80-2.99
Pt  0.5000  0.5000  0.0000  4 Mg 2.71, 2 Ca 3.00
Ca  0.0000  0.5000  0.5000  2 Pt 3.00, 8 Mg 3.21-3.29, 2 Ca 3.23
Mg  0.6718  0.0000  0.7918  2 Pt 2.71, 2 Mg 2.80-2.99

=====

[3]
Below is a crystal of TaIr4Pt relaxed with PBEsol, with properties calculated at the SCAN level.

Calculated values
DFT formation energy, eV per atom: 0.023
Crystal system: cubic
Symmetry: F-43m, No. 216

abc: 5.0841 5.0841 5.0841
angles: 60.00 60.00 60.00
Closest atoms and distances in Å follow each position.
Atoms (fractional coordinates):
Pt  0.2500  0.2500  0.2500  12 Ir 2.98, 4 Ta 3.11
Ta  0.0000  0.0000  0.0000  12 Ir 2.98, 4 Pt 3.11
Ir  0.6247  0.1259  0.6247  6 Ir 2.54-2.55
Ir  0.6247  0.6247  0.6247  6 Ir 2.54-2.55
Ir  0.6247  0.6247  0.1259  6 Ir 2.54-2.55
Ir  0.1259  0.6247  0.6247  6 Ir 2.54-2.55

=====

[4]
Below is a crystal of LaAlCu4 relaxed with PBEsol, with properties calculated at the SCAN level.

Calculated values
DFT formation energy, eV per atom: -0.247
Crystal system: hexagonal
Symmetry: P-6m2, No. 187

abc: 3.9743 5.2572 5.2572
angles: 120.00 90.00 90.00
Closest atoms and distances in Å follow each position.
Atoms (fractional coordinates):
Cu  0.5000  0.9964  0.4982  6 Cu 2.49-2.66, 2 Al 2.51
Cu  0.0000  0.6667  0.3333  6 Cu 2.49
Cu  0.5000  0.5018  0.4982  6 Cu 2.49-2.66, 2 Al 2.51
La  0.0000  0.0000  0.0000  3 Al 3.04, 15 Cu 3.04-3.30
Al  0.0000  0.3333  0.6667  6 Cu 2.51
Cu  0.5000  0.5018  0.0036  6 Cu 2.49-2.66, 2 Al 2.51

=====

[5]
Below is a crystal of KZnW relaxed with PBEsol, with properties calculated at the SCAN level.

Calculated values
Excess energy over the best structure of this formula in the dataset, meV per atom: 0
DFT formation energy, eV per atom: 0.949
Crystal system: tetragonal
Symmetry: I4mm, No. 107

abc: 2.7141 2.7141 8.1750
angles: 99.56 99.56 90.00
Closest atoms and distances in Å follow each position.
Atoms (fractional coordinates):
K  0.9992  0.9992  0.9984  4 K 2.71
W  0.6877  0.6877  0.3754  4 W 2.71, 4 Zn 2.77
Zn  0.3131  0.3131  0.6262  4 Zn 2.71, 4 W 2.77

=====

[6]
Below is a crystal of ReRu3 relaxed with PBEsol, with properties calculated at the SCAN level.

Calculated values
Excess energy over the best structure of this formula in the dataset, meV per atom: 20
DFT formation energy, eV per atom: -0.056
Crystal system: orthorhombic
Symmetry: Imm2, No. 44

abc: 2.7114 4.6906 5.0627
angles: 117.60 105.53 90.00
Closest atoms and distances in Å follow each position.
Atoms (fractional coordinates):
Ru  0.2502  0.9165  0.5005  3 Re 2.65, 9 Ru 2.65-2.71
Re  0.0000  0.9995  0.0000  10 Ru 2.65-2.72, 2 Re 2.71
Ru  0.7498  0.4161  0.4995  3 Re 2.65, 9 Ru 2.65-2.71
Ru  0.5000  0.5013  0.0000  8 Ru 2.65-2.71, 4 Re 2.70-2.72

=====

[7]
Below is a crystal of KRu2W relaxed with PBEsol, with properties calculated at the SCAN level.

Calculated values
DFT formation energy, eV per atom: 0.956
Crystal system: orthorhombic
Symmetry: Cmm2, No. 35

abc: 2.6947 2.6947 10.3305
angles: 90.00 90.00 115.48
Closest atoms and distances in Å follow each position.
Atoms (fractional coordinates):
Ru  0.5000  0.5000  0.7544  8 Ru 2.61-2.88, 2 W 2.63
K  0.5000  0.5000  0.2384  6 K 2.69-2.88
Ru  0.0000  0.0000  0.9657  8 Ru 2.61-2.88
W  0.0000  0.0000  0.5415  2 Ru 2.63, 6 W 2.69-2.88

=====

[8]
Below is a crystal of BaCrCu relaxed with PBEsol, with properties calculated at the SCAN level.

Calculated values
DFT formation energy, eV per atom: 0.446
Crystal system: tetragonal
Symmetry: I4mm, No. 107

abc: 3.4738 3.4738 6.1863
angles: 106.31 106.31 90.00
Closest atoms and distances in Å follow each position.
Atoms (fractional coordinates):
Cr  0.7207  0.7207  0.4414  4 Cu 2.56
Ba  0.9938  0.9938  0.9876  1 Cr 3.10, 5 Cu 3.31-3.41
Cu  0.2855  0.2855  0.5710  4 Cr 2.56

=====

[9]
Below is a crystal of La3Sc relaxed with PBEsol, with properties calculated at the SCAN level.

Calculated values
DFT formation energy, eV per atom: 0.039
Crystal system: monoclinic
Symmetry: C2/m, No. 12

abc: 3.5579 6.0608 6.0795
angles: 99.91 90.00 107.07
Closest atoms and distances in Å follow each position.
Atoms (fractional coordinates):
La  0.0000  0.0000  0.5000  8 La 3.49-3.57, 4 Sc 3.52
La  0.7554  0.5107  0.7612  9 La 3.43-3.62, 3 Sc 3.44-3.52
Sc  0.5000  0.0000  0.0000  10 La 3.44-3.52, 2 Sc 3.56
La  0.2446  0.4893  0.2388  9 La 3.43-3.62, 3 Sc 3.44-3.52

=====

[10]
Below is a crystal of Hg2SbAu relaxed with PBEsol, with properties calculated at the SCAN level.

Calculated values
ΔE_f (raw), eV per atom: -0.003
Crystal system: trigonal
Symmetry: R3m, No. 160

abc: 4.1371 4.1371 6.9110
angles: 72.58 72.58 60.00
Closest atoms and distances in Å follow each position.
Atoms (fractional coordinates):
Sb  0.5119  0.5119  0.4642  3 Au 2.74, 3 Hg 3.05
Hg  0.7478  0.7478  0.7567  3 Hg 2.94, 3 Sb 3.05
Hg  0.9932  0.9932  0.0205  3 Au 2.84, 3 Hg 2.94
Au  0.2471  0.2471  0.2586  3 Sb 2.74, 3 Hg 2.84

=====

[11]
Below is a crystal of PrCuSO relaxed with PBEsol, with properties calculated at the SCAN level.

Calculated values
ΔE_f (raw), eV per atom: -2.182
Crystal system: tetragonal
Symmetry: P4/nmm, No. 129

abc: 3.9113 3.9113 8.3102
angles: 90.00 90.00 90.00
Closest atoms and distances in Å follow each position.
Atoms (fractional coordinates):
O  0.5000  0.5000  0.0000  4 Pr 2.32
Cu  0.5000  0.5000  0.5000  4 S 2.38
Cu  0.0000  0.0000  0.5000  4 S 2.38
S  0.5000  0.0000  0.6628  4 Cu 2.38
Pr  0.0000  0.5000  0.8500  4 O 2.32
Pr  0.5000  0.0000  0.1500  4 O 2.32
S  0.0000  0.5000  0.3372  4 Cu 2.38
O  0.0000  0.0000  0.0000  4 Pr 2.32